# 1
DFT (PBE) results for a relaxed Ac8Te4As3I crystal.

```
16
Lattice="-3.526 -4.601 -7.252 -2.974 -6.792 5.755 -2.519 8.793 1.589" Properties=species:S:1:pos:R:3 pbc="T T T"
Ac -3.054 1.477 0.548
Ac -4.678 -0.927 -3.080
Ac -5.526 2.466 3.920
As -3.250 -5.697 -0.748
As -4.509 -1.300 0.046
Ac -4.340 -1.673 3.172
Te -3.022 2.096 -2.832
Ac -1.832 -2.900 -0.414
Te 0.000 0.000 0.000
Ac -5.964 -4.077 -0.456
Te -1.763 -2.300 -3.626
Te -1.259 4.396 0.794
Ac -7.186 0.300 0.505
I -1.487 -3.396 2.877
As -2.746 1.000 3.672
Ac -3.492 -5.067 -3.828
```

- formation energy (no corrections) (eV/atom) = -1.4554
- calculated volume (Å³ per cell) = 575.1
- density (Mg/m³) = 7.73
- E (eV for the cell shown) = -84.2



# 2
DFT (PBE) results for a relaxed LiRe3 crystal.

```
4
Lattice="-0.705 0.893 -4.156 -3.678 -1.234 -1.875 -2.949 2.942 -1.101" Properties=species:S:1:pos:R:3 pbc="T T T"
Li 0.000 0.000 0.000
Re -5.499 1.951 -5.349
Re -1.833 0.650 -1.783
Re -3.666 1.301 -3.566
```

- calculated volume (Å³ per cell) = 56.6
- density (Mg/m³) = 16.60
- E (eV for the cell shown) = -38.4
- relative energy among the computed polymorphs (meV/atom) = 24



# 3
DFT (PBE) results for a relaxed Pm6PrHoEr2 crystal.

```
20
Lattice="-6.221 -1.750 7.120 4.572 -7.514 1.425 3.120 7.418 3.826" Properties=species:S:1:pos:R:3 pbc="T T T"
Pm 0.033 2.619 10.229
Pm 4.011 -1.919 3.695
Pm 1.099 3.971 6.891
Er -0.235 -1.003 10.813
Pm 0.578 0.519 7.787
Er 1.707 -0.844 1.557
Pm 0.893 -2.365 4.583
Pm 2.549 4.663 3.464
Pm 3.944 -4.737 5.345
Pm 0.372 -5.817 5.479
Ho 2.161 0.847 4.620
Ho -0.690 -2.693 7.751
Pm 1.439 -4.465 2.142
Pr 2.973 -7.501 3.277
Pm -2.473 2.890 7.025
Pm -1.077 -6.509 8.907
Pr -1.502 5.655 9.093
Er -1.547 -0.252 5.353
Er 3.018 -1.594 7.018
Pm -2.540 0.072 8.676
```

- calculated volume (Å³ per cell) = 675.8
- density (Mg/m³) = 7.42
- E (eV for the cell shown) = -91.7



# 4
DFT (PBE) results for a relaxed P2IrPbS8 crystal.

```
12
Lattice="-2.845 4.872 1.375 -0.651 -2.354 -5.268 -6.551 -4.638 2.882" Properties=species:S:1:pos:R:3 pbc="T T T"
Ir -3.275 -2.319 1.441
S -3.254 -0.766 -0.355
P -3.867 1.222 -0.068
S -7.410 0.944 1.640
S -6.793 -1.354 -0.657
S -5.347 -1.552 2.310
S -4.699 -0.568 -3.322
Pb 0.000 0.000 0.000
P -6.179 -3.342 -0.944
S -7.732 -4.441 -0.260
S -2.314 2.321 -0.751
S -2.637 -3.064 -2.651
```

- formation energy (no corrections) (eV/atom) = -0.1858
- calculated volume (Å³ per cell) = 249.0
- density (Mg/m³) = 4.79
- E (eV for the cell shown) = -58.6



# 5
DFT (PBE) results for a relaxed V3GaAu crystal.

```
5
Lattice="-1.504 2.846 -3.119 -2.836 -3.133 -1.492 -3.128 1.472 2.852" Properties=species:S:1:pos:R:3 pbc="T T T"
V -0.752 1.423 -1.559
Ga 0.000 0.000 0.000
V -1.564 0.736 1.426
Au -3.734 0.592 -0.879
V -1.418 -1.567 -0.746
```

- calculated volume (Å³ per cell) = 90.0
- density (Mg/m³) = 7.74
- E (eV for the cell shown) = -28.5
- relative energy among the computed polymorphs (meV/atom) = 0



# 6
DFT (PBE) results for a relaxed Ti2V4Ga crystal.

```
7
Lattice="-1.308 0.909 -2.006 -3.689 -2.157 1.427 -0.491 8.219 4.045" Properties=species:S:1:pos:R:3 pbc="T T T"
V -0.986 1.468 -0.328
Ti -2.316 5.535 2.382
V -1.003 3.068 2.044
V -3.176 2.994 3.428
Ti -3.172 1.436 1.083
Ga -1.844 -1.079 0.713
V -4.502 5.503 3.793
```

- calculated volume (Å³ per cell) = 102.6
- density (Mg/m³) = 5.97
- E (eV for the cell shown) = -54.8



# 7
DFT (PBE) results for a relaxed BeReS3 crystal.

```
5
Lattice="-4.316 1.038 1.309 -1.659 -2.229 -3.700 -0.199 -3.920 2.451" Properties=species:S:1:pos:R:3 pbc="T T T"
S -2.158 0.519 0.655
Be -3.087 -2.556 0.030
S -0.829 -1.115 -1.850
Re 0.000 0.000 0.000
S -0.099 -1.960 1.225
```

- formation energy (no corrections) (eV/atom) = 0.7442
- calculated volume (Å³ per cell) = 99.1
- density (Mg/m³) = 4.88
- E (eV for the cell shown) = -24.8
- relative energy among the computed polymorphs (meV/atom) = 0



# 8
DFT (PBE) results for a relaxed CsAgCl6 crystal.

```
8
Lattice="8.110 -1.511 -5.454 -2.340 6.480 2.410 -4.380 2.181 9.664" Properties=species:S:1:pos:R:3 pbc="T T T"
Ag 0.000 0.000 0.000
Cl 2.934 1.195 0.210
Cl 5.381 2.634 -3.112
Cs 0.695 3.575 3.310
Cl -1.544 5.956 6.410
Cl 4.812 0.321 0.293
Cl -3.422 6.830 6.327
Cl -3.991 4.516 9.731
```

- formation energy (no corrections) (eV/atom) = -0.6014
- calculated volume (Å³ per cell) = 320.1
- density (Mg/m³) = 2.35
- E (eV for the cell shown) = -19.6



# 9
DFT (PBE) results for a relaxed Sr3Mn2N4 crystal.

```
18
Lattice="4.318 5.631 0.000 -4.318 5.631 0.000 0.000 0.428 5.538" Properties=species:S:1:pos:R:3 pbc="T T T"
N -0.430 7.813 2.152
Mn -1.093 3.463 2.352
N 0.430 3.877 3.385
N -2.705 4.406 2.914
Sr 3.171 4.472 3.059
N -2.705 7.497 5.392
N 2.705 7.284 2.623
Sr -3.171 7.217 2.479
N 2.705 4.192 0.146
Mn 1.093 8.227 3.185
Sr -0.850 5.952 4.153
Mn -1.093 8.013 0.416
N -0.430 3.663 0.616
N 0.430 8.027 4.921
Sr 3.171 7.431 5.248
Mn 1.093 3.677 5.121
Sr -3.171 4.259 0.290
Sr 0.850 5.738 1.384
```

- formation energy (no corrections) (eV/atom) = -0.5333
- calculated volume (Å³ per cell) = 269.3
- density (Mg/m³) = 5.29
- E (eV for the cell shown) = -123.0



# 10
DFT (PBE) results for a relaxed CdReBr2 crystal.

```
4
Lattice="3.205 0.000 0.000 0.000 3.205 0.000 0.000 0.000 8.531" Properties=species:S:1:pos:R:3 pbc="T T T"
Br 0.000 0.000 7.838
Re 1.602 1.602 6.528
Cd 0.000 0.000 4.445
Br 1.602 1.602 2.518
```

- formation energy (no corrections) (eV/atom) = 0.5285
- calculated volume (Å³ per cell) = 87.6
- density (Mg/m³) = 8.69
- E (eV for the cell shown) = -14.6
- relative energy among the computed polymorphs (meV/atom) = 273



# 11
DFT (PBE) results for a relaxed CeThSbSe crystal.

```
4
Lattice="-3.328 -3.775 -1.701 1.920 -4.464 -2.146 -0.380 -4.594 2.641" Properties=species:S:1:pos:R:3 pbc="T T T"
Sb -1.341 -9.624 -0.905
Ce 0.000 0.000 0.000
Se -0.447 -3.208 -0.302
Th -0.894 -6.416 -0.603
```

- formation energy (no corrections) (eV/atom) = -1.1389
- calculated volume (Å³ per cell) = 106.0
- density (Mg/m³) = 8.97
- E (eV for the cell shown) = -25.5
- relative energy among the computed polymorphs (meV/atom) = 142



# 12
DFT (PBE) results for a relaxed NiAgSnAu crystal.

```
4
Lattice="4.611 0.000 0.000 2.305 3.993 0.000 2.305 1.331 3.765" Properties=species:S:1:pos:R:3 pbc="T T T"
Au 4.611 2.662 1.882
Sn 2.305 1.331 0.941
Ag 6.916 3.993 2.823
Ni 0.000 0.000 0.000
```

- calculated volume (Å³ per cell) = 69.3
- density (Mg/m³) = 11.55
- E (eV for the cell shown) = -15.8



# 13
DFT (PBE) results for a relaxed Tb6Fe2Cu crystal.

```
18
Lattice="-7.829 1.698 2.141 3.609 -4.832 5.691 4.437 6.987 -0.493" Properties=species:S:1:pos:R:3 pbc="T T T"
Tb -0.870 1.621 5.860
Fe -1.299 3.327 0.631
Tb 4.259 0.547 5.880
Tb -3.635 -0.626 5.887
Tb -1.069 4.102 3.380
Tb 1.087 2.232 1.479
Tb 5.587 3.437 4.386
Cu 0.000 0.000 0.000
Tb -5.369 0.416 2.953
Fe -1.225 -1.330 4.488
Tb -1.840 0.707 2.556
Tb 2.057 3.146 4.784
Tb 3.852 4.479 1.452
Tb -4.042 3.306 1.460
Fe 1.442 5.183 2.851
Cu 4.023 1.078 2.599
Tb 1.286 -0.249 3.959
Fe -2.092 5.358 1.017
```

- calculated volume (Å³ per cell) = 438.4
- density (Mg/m³) = 8.55
- E (eV for the cell shown) = -98.3



# 14
DFT (PBE) results for a relaxed LaNi4Rh crystal.

```
12
Lattice="-0.700 3.707 -0.714 -6.082 -1.275 -0.662 -0.717 -0.623 7.788" Properties=species:S:1:pos:R:3 pbc="T T T"
La -1.760 -0.043 1.499
Rh -5.074 -0.366 3.070
La -5.739 1.852 4.912
Ni -3.391 1.216 -0.688
Ni -3.359 0.286 4.777
Ni -4.722 -0.771 0.625
Ni -0.350 1.854 -0.357
Ni -2.776 2.579 5.785
Ni -1.136 0.752 5.019
Ni -4.140 1.522 1.634
Rh -2.425 2.174 3.341
Ni -6.362 1.056 1.392
```

- calculated volume (Å³ per cell) = 182.5
- density (Mg/m³) = 8.67
- E (eV for the cell shown) = -71.5
- relative energy among the computed polymorphs (meV/atom) = 259



# 15
DFT (PBE) results for a relaxed Pm6SmSn4 crystal.

```
11
Lattice="8.243 -0.290 -0.427 -4.069 7.175 0.427 -4.069 -2.241 6.829" Properties=species:S:1:pos:R:3 pbc="T T T"
Pm -5.425 4.790 3.818
Pm 2.087 -1.266 3.201
Sm 0.000 0.000 0.000
Sn -3.275 -0.145 4.369
Sn -3.275 4.116 1.472
Sn -2.973 3.933 5.784
Pm 2.087 3.442 0.000
Pm -5.425 1.790 5.858
Pm -1.382 2.338 3.438
Pm 4.201 0.660 0.971
Sn 1.492 1.673 2.460
```

- calculated volume (Å³ per cell) = 387.8
- density (Mg/m³) = 6.40
- E (eV for the cell shown) = -53.3



# 16
DFT (PBE) results for a relaxed SrZrAu crystal.

```
6
Lattice="5.167 0.000 0.000 -2.583 2.585 0.000 0.000 0.000 12.394" Properties=species:S:1:pos:R:3 pbc="T T T"
Zr 2.583 1.005 7.673
Au 0.000 1.005 6.197
Sr 0.000 1.005 10.394
Sr 0.000 1.005 2.000
Zr 2.583 1.005 4.721
Au 2.583 1.005 0.000
```

- calculated volume (Å³ per cell) = 165.5
- density (Mg/m³) = 7.54
- E (eV for the cell shown) = -27.9
- relative energy among the computed polymorphs (meV/atom) = 49



# 17
DFT (PBE) results for a relaxed PmNi2Sn crystal.

```
4
Lattice="-4.001 -2.389 -0.273 0.077 -4.600 -0.789 -1.181 -2.971 3.401" Properties=species:S:1:pos:R:3 pbc="T T T"
Sn 0.000 0.000 0.000
Ni -3.829 -7.470 1.755
Pm -2.553 -4.980 1.170
Ni -1.276 -2.490 0.585
```

- calculated volume (Å³ per cell) = 71.9
- density (Mg/m³) = 8.80
- E (eV for the cell shown) = -21.9
- relative energy among the computed polymorphs (meV/atom) = 70



# 18
DFT (PBE) results for a relaxed Zr2HgI crystal.

```
8
Lattice="-1.280 -2.919 3.159 4.238 -1.419 0.406 3.189 5.042 9.140" Properties=species:S:1:pos:R:3 pbc="T T T"
Zr 4.996 -0.020 9.976
Hg 1.694 -0.023 7.041
I 1.479 -2.169 1.782
Hg 0.000 0.000 0.000
Zr 3.291 0.020 2.921
Zr 3.485 2.160 8.190
Zr 0.522 -0.753 4.322
I 4.453 0.727 5.664
```

- formation energy (no corrections) (eV/atom) = 0.2649
- calculated volume (Å³ per cell) = 210.3
- density (Mg/m³) = 8.05
- E (eV for the cell shown) = -35.8
- relative energy among the computed polymorphs (meV/atom) = 223



# 19
DFT (PBE) results for a relaxed ThNiH2 crystal.

```
4
Lattice="-0.790 1.388 -3.868 -0.143 -2.692 -3.200 -3.674 -0.882 -1.830" Properties=species:S:1:pos:R:3 pbc="T T T"
H -2.504 -1.513 -6.822
Th -2.303 -1.093 -4.449
H -2.103 -0.673 -2.076
Ni 0.000 0.000 0.000
```

- calculated volume (Å³ per cell) = 52.1
- density (Mg/m³) = 9.34
- E (eV for the cell shown) = -21.4
- relative energy among the computed polymorphs (meV/atom) = 84



# 20
DFT (PBE) results for a relaxed Pr5Co2Au2 crystal.

```
18
Lattice="-1.388 7.435 0.963 0.451 -0.896 7.565 7.188 5.226 0.190" Properties=species:S:1:pos:R:3 pbc="T T T"
Pr 1.462 4.698 6.801
Au 3.831 4.584 0.314
Pr 0.000 0.000 0.000
Au 3.362 7.853 4.578
Pr 4.161 10.655 3.497
Co 0.030 0.436 3.069
Pr 5.213 5.558 5.561
Pr 4.585 9.146 7.141
Co -0.792 4.408 1.398
Pr 1.038 6.207 3.156
Co -0.966 6.104 5.458
Co -0.144 2.131 7.129
Pr 4.790 7.068 1.916
Au 2.889 3.912 4.140
Pr 2.090 1.110 5.221
Pr 1.666 2.620 1.576
Pr -0.468 3.270 4.264
Au 1.969 8.078 0.839
```

- calculated volume (Å³ per cell) = 467.2
- density (Mg/m³) = 8.65
- E (eV for the cell shown) = -95.3



# 21
DFT (PBE) results for a relaxed NdPaSe2 crystal.

```
8
Lattice="-1.665 1.854 -2.894 -6.159 1.827 4.715 3.093 5.662 1.847" Properties=species:S:1:pos:R:3 pbc="T T T"
Nd -2.365 4.671 1.834
Nd 0.714 3.758 -0.523
Pa 0.000 0.000 0.000
Se -3.628 3.185 4.128
Pa -3.079 0.913 2.357
Se -2.842 7.074 3.648
Se 0.562 4.304 2.434
Se -1.889 2.268 0.020
```

- formation energy (no corrections) (eV/atom) = -1.3602
- calculated volume (Å³ per cell) = 204.2
- density (Mg/m³) = 8.67
- E (eV for the cell shown) = -53.3
- relative energy among the computed polymorphs (meV/atom) = 102



# 22
DFT (PBE) results for a relaxed Zn9Ga2Hg crystal.

```
24
Lattice="5.146 0.000 0.000 0.000 8.943 0.000 0.000 0.000 8.943" Properties=species:S:1:pos:R:3 pbc="T T T"
Ga 0.000 5.567 1.096
Zn 1.240 2.873 1.599
Ga 0.000 3.376 7.847
Zn 2.573 3.957 6.283
Zn 3.907 7.344 2.873
Zn 1.240 7.344 2.873
Zn 2.573 4.986 2.660
Zn 2.573 0.000 4.471
Zn 2.573 7.131 0.514
Hg 0.000 0.000 0.000
Zn 2.573 2.660 3.957
Zn 3.907 1.599 6.070
Zn 2.573 8.429 7.131
Zn 3.907 2.873 1.599
Zn 2.573 1.812 8.429
Zn 2.573 4.471 0.000
Hg 0.000 4.471 4.471
Zn 2.573 0.514 1.812
Zn 3.907 6.070 7.344
Zn 1.240 6.070 7.344
Zn 1.240 1.599 6.070
Zn 2.573 6.283 4.986
Ga 0.000 1.096 3.376
Ga 0.000 7.847 5.567
```

- calculated volume (Å³ per cell) = 411.6
- density (Mg/m³) = 7.49
- E (eV for the cell shown) = -33.9